# 1
This record from the Alexandria database describes PdSe2I after structural relaxation. The functional is PBE.

Lattice parameters (Å, degrees): 8.3342 8.3342 8.3342 27.54 27.54 27.54
Closest atoms and distances in Å follow each position.
Fractional coordinates of all 4 atoms:
I 0.0000 0.0000 0.0000  2 Se 2.80
Se 0.8837 0.8837 0.8837  3 Pd 2.59, 1 I 2.80
Se 0.1163 0.1163 0.1163  3 Pd 2.59, 1 I 2.80
Pd 0.5000 0.5000 0.5000  6 Se 2.59

Values from the calculation:
ΔE_f (raw) = -0.181 eV per atom
Offset from the most stable computed form = 5.8 meV per atom
SG = R-3m (166)

---

# 2
This record from the Alexandria database describes Sr2PaHgO6 after structural relaxation. The functional is PBE.

Lattice parameters (Å, degrees): 5.8978 5.9276 6.4148 117.52 118.46 90.00
Closest atoms and distances in Å follow each position.
Fractional coordinates of all 10 atoms:
Sr 0.2180 0.2532 0.5064  5 O 2.46-2.57
Sr 0.7820 0.7468 0.4936  5 O 2.46-2.57
Pa 0.0000 0.5000 0.0000  6 O 2.06-2.23
Hg 0.5000 0.0000 0.0000  4 O 2.20
O 0.3255 0.7031 0.4062  1 Pa 2.06
O 0.1742 0.1734 0.8483  1 Hg 2.20, 1 Pa 2.23
O 0.8258 0.3251 0.1517  1 Hg 2.20, 1 Pa 2.23
O 0.1742 0.6749 0.8483  1 Hg 2.20, 1 Pa 2.23
O 0.8258 0.8266 0.1517  1 Hg 2.20, 1 Pa 2.23
O 0.6745 0.2969 0.5938  1 Pa 2.06

Values from the calculation:
ΔE_f (raw) = -2.459 eV per atom
SG = C2/m (12)

---

# 3
This record from the Alexandria database describes Li2HoUSe4 after structural relaxation. The functional is PBE.

Lattice parameters (Å, degrees): 4.0426 7.0308 6.9433 109.66 90.00 90.00
Closest atoms and distances in Å follow each position.
Fractional coordinates of all 8 atoms:
Li 0.5000 0.0000 0.5000  6 Se 2.84-2.85
Li 0.0000 0.5000 0.5000  6 Se 2.81-2.82
Ho 0.5000 0.5000 0.0000  6 Se 2.86-2.87
U 0.0000 0.0000 0.0000  6 Se 2.89
Se 0.5000 0.2558 0.2578  3 Li 2.81-2.85, 1 Ho 2.87, 2 U 2.89
Se 0.5000 0.7442 0.7422  3 Li 2.81-2.85, 1 Ho 2.87, 2 U 2.89
Se 0.0000 0.2506 0.7450  3 Li 2.82-2.84, 2 Ho 2.86, 1 U 2.89
Se 0.0000 0.7494 0.2550  3 Li 2.82-2.84, 2 Ho 2.86, 1 U 2.89

Values from the calculation:
ΔE_f (raw) = -1.418 eV per atom
SG = P2/m (10)

---

# 4
This record from the Alexandria database describes YBi3H after structural relaxation. The functional is PBE.

Lattice parameters (Å, degrees): 5.9299 5.9299 5.9299 90.00 90.00 90.00
Closest atoms and distances in Å follow each position.
Fractional coordinates of all 5 atoms:
Y 0.0000 0.0000 0.0000  6 Bi 2.96
H 0.5000 0.5000 0.5000  12 Bi 4.19
Bi 0.0000 0.5000 0.0000  2 Y 2.96
Bi 0.0000 0.0000 0.5000  2 Y 2.96
Bi 0.5000 0.0000 0.0000  2 Y 2.96

Values from the calculation:
Offset from the most stable computed form = 727.8 meV per atom
SG = Pm-3m (221)

---

# 5
This record from the Alexandria database describes KTlSn2Br after structural relaxation. The functional is PBE.

Lattice parameters (Å, degrees): 5.6160 7.4349 5.6160 90.00 90.00 90.00
Closest atoms and distances in Å follow each position.
Fractional coordinates of all 5 atoms:
K 0.0000 0.5000 0.0000  2 Tl 3.72, 4 Br 3.97
Tl 0.0000 0.0000 0.0000  4 Sn 2.81
Sn 0.0000 0.0000 0.5000  2 Tl 2.81
Sn 0.5000 0.0000 0.0000  2 Tl 2.81
Br 0.5000 0.5000 0.5000  4 K 3.97

Values from the calculation:
ΔE_f (raw) = 0.066 eV per atom
SG = P4/mmm (123)

---

# 6
This record from the Alexandria database describes Tb8As3CS3 after structural relaxation. The functional is PBE.

Lattice parameters (Å, degrees): 7.9682 7.9687 8.0202 119.79 90.00 120.00
Closest atoms and distances in Å follow each position.
Fractional coordinates of all 15 atoms:
Tb 0.2508 0.5016 0.2523  3 S 2.82, 3 As 2.84
Tb 0.7492 0.4984 0.7477  3 S 2.82, 3 As 2.84
Tb 0.7737 0.5475 0.2765  1 C 2.56, 2 S 2.82, 2 As 2.86
Tb 0.2263 0.4525 0.7235  1 C 2.56, 2 S 2.82, 2 As 2.86
Tb 0.7738 0.0028 0.2765  1 C 2.56, 2 S 2.82, 2 As 2.86
Tb 0.2262 0.9972 0.7235  1 C 2.56, 2 S 2.82, 2 As 2.86
Tb 0.2290 0.0028 0.2765  1 C 2.56, 2 S 2.82, 2 As 2.86
Tb 0.7710 0.9972 0.7235  1 C 2.56, 2 S 2.82, 2 As 2.86
As 0.0000 0.0000 0.0000  6 Tb 2.84-2.86
As 0.0000 0.5000 0.0000  6 Tb 2.84-2.86
As 0.5000 0.5000 0.0000  6 Tb 2.84-2.86
C 0.0000 0.0000 0.5000  6 Tb 2.56
S 0.5000 0.0000 0.5000  6 Tb 2.82
S 0.5000 0.5000 0.5000  6 Tb 2.82
S 0.0000 0.5000 0.5000  6 Tb 2.82

Values from the calculation:
ΔE_f (raw) = -1.471 eV per atom
SG = R-3m (166)

---

# 7
This record from the Alexandria database describes Ir3Os4Rh2 after structural relaxation. The functional is PBE.

Lattice parameters (Å, degrees): 8.2289 6.1670 6.1667 108.78 80.25 80.25
Closest atoms and distances in Å follow each position.
Fractional coordinates of all 18 atoms:
Ir 0.8592 0.0467 0.1831  3 Os 2.56-2.72, 3 Ir 2.66-2.78, 3 Rh 2.69-2.83
Ir 0.6408 0.8169 0.9533  3 Os 2.56-2.72, 3 Ir 2.66-2.78, 3 Rh 2.69-2.83
Ir 0.1408 0.9533 0.8169  3 Os 2.56-2.72, 3 Ir 2.66-2.78, 3 Rh 2.69-2.83
Ir 0.3592 0.1831 0.0467  3 Os 2.56-2.72, 3 Ir 2.66-2.78, 3 Rh 2.69-2.83
Ir 0.2500 0.5402 0.4598  2 Ir 2.66, 4 Rh 2.68-2.77, 6 Os 2.86-2.94
Ir 0.7500 0.4598 0.5402  2 Ir 2.66, 4 Rh 2.68-2.77, 6 Os 2.86-2.94
Os 0.3748 0.8607 0.2629  4 Os 2.46-2.65, 2 Rh 2.52-2.54, 2 Ir 2.56-2.72
Os 0.1252 0.7371 0.1393  4 Os 2.46-2.65, 2 Rh 2.52-2.54, 2 Ir 2.56-2.72
Os 0.6252 0.1393 0.7371  4 Os 2.46-2.65, 2 Rh 2.52-2.54, 2 Ir 2.56-2.72
Os 0.8748 0.2629 0.8607  4 Os 2.46-2.65, 2 Rh 2.52-2.54, 2 Ir 2.56-2.72
Os 0.0767 0.1609 0.4634  4 Os 2.54-2.65, 2 Rh 2.56-2.76, 1 Ir 2.72
Os 0.4233 0.5366 0.8391  4 Os 2.54-2.65, 2 Rh 2.56-2.76, 1 Ir 2.72
Os 0.9233 0.8391 0.5366  4 Os 2.54-2.65, 2 Rh 2.56-2.76, 1 Ir 2.72
Os 0.5767 0.4634 0.1609  4 Os 2.54-2.65, 2 Rh 2.56-2.76, 1 Ir 2.72
Rh 0.5214 0.1950 0.3928  4 Os 2.52-2.76, 4 Ir 2.68-2.77
Rh 0.9786 0.6071 0.8050  4 Os 2.52-2.76, 4 Ir 2.68-2.77
Rh 0.4786 0.8050 0.6072  4 Os 2.52-2.76, 4 Ir 2.68-2.77
Rh 0.0214 0.3929 0.1950  4 Os 2.52-2.76, 4 Ir 2.68-2.77

Values from the calculation:
Energy of formation = 389 kJ/mol of formula units
SG = C2/c (15)

---

# 8
This record from the Alexandria database describes TbPd2PtAu after structural relaxation. The functional is PBE.

Lattice parameters (Å, degrees): 4.3028 6.8279 6.4960 101.33 90.00 90.00
Closest atoms and distances in Å follow each position.
Fractional coordinates of all 10 atoms:
Tb 0.2500 0.7820 0.8157  3 Pt 2.89-2.95, 6 Pd 3.07-3.10
Tb 0.7500 0.2180 0.1843  3 Pt 2.89-2.95, 6 Pd 3.07-3.10
Pd 0.7500 0.6297 0.4776  1 Pt 2.70, 5 Pd 2.75-2.91, 1 Au 2.89
Pd 0.2500 0.3703 0.5224  1 Pt 2.70, 5 Pd 2.75-2.91, 1 Au 2.89
Pd 0.7500 0.4609 0.8285  3 Pt 2.66-2.79, 3 Pd 2.75-2.91, 1 Au 2.80
Pd 0.2500 0.5391 0.1715  3 Pt 2.66-2.79, 3 Pd 2.75-2.91, 1 Au 2.80
Pt 0.2500 0.2120 0.8716  4 Pd 2.66-2.79, 2 Au 2.74, 3 Tb 2.89-2.95
Pt 0.7500 0.7880 0.1284  4 Pd 2.66-2.79, 2 Au 2.74, 3 Tb 2.89-2.95
Au 0.2500 0.9431 0.3683  2 Pt 2.74, 2 Au 2.76, 2 Pd 2.80-2.89
Au 0.7500 0.0569 0.6317  2 Pt 2.74, 2 Au 2.76, 2 Pd 2.80-2.89

Values from the calculation:
Energy of formation = -308 kJ/mol of formula units
SG = P2_1/m (11)

---

| no. | total DFT energy (no corrections) (eV for the cell shown) |
| --- | --- |
| 1 | -14.44 |
| 2 | -67.50 |
| 3 | -44.97 |
| 4 | -17.95 |
| 5 | -12.81 |
| 6 | -94.66 |
| 7 | -164.34 |
| 8 | -55.05 |